Computed, not measured: MgWO2 after structural relaxation at the PBE+U level of DFT.

Calculated values
total energy	-98.47	eV per cell

Unit cell a=2.8739 b=8.5301 c=8.5980 alpha=96.16 beta=99.50 gamma=89.96
Each line ends with the local moment (μB).
Fractional coordinates of all 16 atoms:
1 Mg 0.1472 0.0944 0.2884  0.00
2 Mg 0.8528 0.9056 0.7116  0.00
3 Mg 0.6904 0.7484 0.3830  0.00
4 Mg 0.3096 0.2516 0.6170  0.00
5 W 0.9777 0.1705 0.9596  2.01
6 W 0.6785 0.4225 0.3556  1.77
7 W 0.3215 0.5775 0.6444  1.77
8 W 0.0223 0.8295 0.0404  2.01
9 O 0.4293 0.7590 0.8526  0.06
10 O 0.8649 0.4143 0.7310  0.03
11 O 0.1351 0.5857 0.2690  0.03
12 O 0.5707 0.2410 0.1474  0.06
13 O 0.3828 0.0905 0.7678  0.04
14 O 0.7265 0.1918 0.4490  0.01
15 O 0.6172 0.9095 0.2322  0.04
16 O 0.2735 0.8082 0.5510  0.01